# CaHo2I8

An optimized crystal structure of CaHo2I8 (PBE-GGA, the Alexandria database).

Results
For the energy relative to the elements, uncorrected, the calculation gives -1.3142 eV/atom. Its density of states at the Fermi level is 0.0 states/eV per cell. The value obtained for the calculated volume is 58.4 Å³/atom. Its total magnetic moment is 0.00 Bohr magnetons per cell. Its space group is C2/m (12).

a = 7.684 Å, b = 9.428 Å, c = 9.428 Å
α = 71.61°, β = 83.95°, γ = 83.95°
Positions (direct):
Ca 0.000 0.000 0.000
Ho 0.646 0.814 0.814
Ho 0.354 0.186 0.186
I 0.220 0.287 0.891
I 0.780 0.109 0.713
I 0.266 0.821 0.821
I 0.734 0.179 0.179
I 0.220 0.891 0.287
I 0.780 0.713 0.109
I 0.786 0.636 0.636
I 0.214 0.364 0.364